Entry 1:
{
  "formula": "SeI3F",
  "functional": "PBE-GGA",
  "state": "relaxed",
  "n_ef_per_ev_fu": 8.79,
  "sg": "Pm-3m",
  "mass_density_g_cm3": 5.18,
  "magnetic_moment_mub_per_cell": 2.82,
  "de_polymorph_ev_per_atom": 0.340,
  "cell": [[5.355, 0.000, 0.000], [0.000, 5.355, 0.000], [0.000, 0.000, 5.355]],
  "species": ["Se", "I", "I", "I", "F"],
  "frac_coords": [[0.000, 0.000, 0.000], [0.000, 0.500, 0.500], [0.500, 0.000, 0.500], [0.500, 0.500, 0.000], [0.500, 0.500, 0.500]]
}

---

Entry 2:
{
  "formula": "SeIF2",
  "functional": "PBE-GGA",
  "state": "relaxed",
  "n_ef_per_ev_fu": 2.06,
  "sg": "R-3m",
  "mass_density_g_cm3": 4.42,
  "magnetic_moment_mub_per_cell": 2.03,
  "de_polymorph_ev_per_atom": 0.595,
  "cell": [[3.272, 0.000, 0.000], [-1.636, 2.834, 0.000], [0.000, 0.000, 29.617]],
  "species": ["Se", "Se", "Se", "I", "I", "I", "F", "F", "F", "F", "F", "F"],
  "frac_coords": [[0.000, 0.000, 0.000], [0.333, 0.667, 0.667], [0.667, 0.333, 0.333], [0.000, 0.000, 0.500], [0.333, 0.667, 0.167], [0.667, 0.333, 0.833], [0.000, 0.000, 0.432], [0.000, 0.000, 0.568], [0.333, 0.667, 0.099], [0.333, 0.667, 0.234], [0.667, 0.333, 0.766], [0.667, 0.333, 0.901]]
}

---

Entry 3:
{
  "formula": "Te2SeIF",
  "functional": "PBE-GGA",
  "state": "relaxed",
  "n_ef_per_ev_fu": 7.85,
  "sg": "P4/mmm",
  "mass_density_g_cm3": 4.69,
  "magnetic_moment_mub_per_cell": 0.93,
  "de_polymorph_ev_per_atom": 0.146,
  "cell": [[5.503, 0.000, 0.000], [0.000, 5.503, 0.000], [0.000, 0.000, 5.613]],
  "species": ["Te", "Te", "Se", "I", "F"],
  "frac_coords": [[0.000, 0.500, 0.000], [0.500, 0.000, 0.000], [0.000, 0.000, 0.000], [0.000, 0.000, 0.500], [0.500, 0.500, 0.500]]
}

---

Entry 4:
{
  "formula": "Te2SeIF",
  "functional": "PBE-GGA",
  "state": "relaxed",
  "n_ef_per_ev_fu": 6.27,
  "sg": "P4/mmm",
  "mass_density_g_cm3": 4.59,
  "magnetic_moment_mub_per_cell": 0.00,
  "de_polymorph_ev_per_atom": 0.000,
  "cell": [[4.555, 0.000, 0.000], [0.000, 4.555, 0.000], [0.000, 0.000, 8.378]],
  "species": ["Te", "Te", "Se", "I", "F"],
  "frac_coords": [[0.000, 0.500, 0.000], [0.500, 0.000, 0.000], [0.000, 0.000, 0.500], [0.500, 0.500, 0.500], [0.500, 0.500, 0.000]]
}

---

Entry 5:
{
  "formula": "Tl4SeIF",
  "functional": "PBE-GGA",
  "state": "relaxed",
  "sg": "P2_1/m",
  "mass_density_g_cm3": 7.22,
  "final_energy_ev_per_atom": -3.165,
  "magnetic_moment_mub_per_cell": 0.00,
  "cell": [[7.136, 0.000, 0.000], [0.000, 7.237, 0.000], [-3.548, 0.000, 9.279]],
  "species": ["Tl", "Tl", "Tl", "Tl", "Tl", "Tl", "Tl", "Tl", "Se", "Se", "I", "I", "F", "F"],
  "frac_coords": [[0.066, 0.013, 0.225], [0.066, 0.487, 0.225], [0.379, 0.250, 0.635], [0.420, 0.250, 0.070], [0.580, 0.750, 0.930], [0.621, 0.750, 0.365], [0.934, 0.513, 0.775], [0.934, 0.987, 0.775], [0.254, 0.750, 0.056], [0.746, 0.250, 0.944], [0.259, 0.750, 0.564], [0.741, 0.250, 0.436], [0.179, 0.250, 0.804], [0.821, 0.750, 0.196]]
}

---

Entry 6:
{
  "formula": "SiI2F",
  "functional": "PBE-GGA",
  "state": "relaxed",
  "n_ef_per_ev_fu": 3.14,
  "sg": "Fm-3m",
  "mass_density_g_cm3": 5.60,
  "magnetic_moment_mub_per_cell": 0.00,
  "de_polymorph_ev_per_atom": 0.122,
  "cell": [[7.095, 0.000, 0.000], [0.000, 7.095, 0.000], [0.000, 0.000, 7.095]],
  "species": ["Si", "Si", "Si", "Si", "I", "I", "I", "I", "I", "I", "I", "I", "F", "F", "F", "F"],
  "frac_coords": [[0.000, 0.000, 0.000], [0.000, 0.500, 0.500], [0.500, 0.000, 0.500], [0.500, 0.500, 0.000], [0.250, 0.250, 0.250], [0.250, 0.250, 0.750], [0.250, 0.750, 0.250], [0.250, 0.750, 0.750], [0.750, 0.250, 0.250], [0.750, 0.250, 0.750], [0.750, 0.750, 0.250], [0.750, 0.750, 0.750], [0.000, 0.000, 0.500], [0.000, 0.500, 0.000], [0.500, 0.000, 0.000], [0.500, 0.500, 0.500]]
}

---

Entry 7:
{
  "formula": "SiI3F",
  "functional": "PBE-GGA",
  "state": "relaxed",
  "n_ef_per_ev_fu": 10.78,
  "sg": "Pm-3m",
  "mass_density_g_cm3": 4.37,
  "magnetic_moment_mub_per_cell": 0.89,
  "de_polymorph_ev_per_atom": 0.000,
  "cell": [[5.459, 0.000, 0.000], [0.000, 5.459, 0.000], [0.000, 0.000, 5.459]],
  "species": ["Si", "I", "I", "I", "F"],
  "frac_coords": [[0.000, 0.000, 0.000], [0.000, 0.000, 0.500], [0.000, 0.500, 0.000], [0.500, 0.000, 0.000], [0.500, 0.500, 0.500]]
}

---

Entry 8:
{
  "formula": "SiIF4",
  "functional": "PBE-GGA",
  "state": "relaxed",
  "n_ef_per_ev_fu": 0.00,
  "sg": "C2/m",
  "mass_density_g_cm3": 2.83,
  "final_energy_ev_per_atom": -4.843,
  "magnetic_moment_mub_per_cell": 0.00,
  "cell": [[6.371, -4.432, 0.000], [6.371, 4.432, 0.000], [-1.647, 0.000, 4.792]],
  "species": ["Si", "Si", "I", "I", "F", "F", "F", "F", "F", "F", "F", "F"],
  "frac_coords": [[0.102, 0.102, 0.418], [0.898, 0.898, 0.582], [0.407, 0.407, 0.278], [0.593, 0.593, 0.722], [0.017, 0.745, 0.770], [0.121, 0.879, 0.500], [0.195, 0.195, 0.714], [0.255, 0.983, 0.230], [0.745, 0.017, 0.770], [0.805, 0.805, 0.286], [0.879, 0.121, 0.500], [0.983, 0.255, 0.230]]
}

---

- What is the formula in the third record?
  Te2SeIF